# 1
The following is a DFT calculation (GGA-PBEsol) of a relaxed structure of Y2Al9Co3.

CIF file:
```
data_Y2Al9Co3
_chemical_formula_sum 'Y4 Al18 Co6'
_cell_length_a 7.312
_cell_length_b 7.312
_cell_length_c 9.213
_cell_angle_alpha 90.00
_cell_angle_beta 90.00
_cell_angle_gamma 60.81
_symmetry_space_group_name_H-M 'P 1'
_symmetry_Int_Tables_number 1
loop_
_symmetry_equiv_pos_as_xyz
'x,y,z'
loop_
_atom_site_label
_atom_site_fract_x
_atom_site_fract_y
_atom_site_fract_z
Y1 0.007 0.673 0.750
Y2 0.327 0.993 0.750
Y3 0.673 0.007 0.250
Y4 0.993 0.327 0.250
Al1 0.003 0.335 0.572
Al2 0.003 0.335 0.928
Al3 0.124 0.876 0.250
Al4 0.332 0.668 0.541
Al5 0.332 0.668 0.959
Al6 0.335 0.003 0.072
Al7 0.335 0.003 0.428
Al8 0.339 0.445 0.250
Al9 0.445 0.339 0.750
Al10 0.555 0.661 0.250
Al11 0.661 0.555 0.750
Al12 0.665 0.997 0.572
Al13 0.665 0.997 0.928
Al14 0.668 0.332 0.041
Al15 0.668 0.332 0.459
Al16 0.876 0.124 0.750
Al17 0.997 0.665 0.072
Al18 0.997 0.665 0.428
Co1 0.000 0.000 0.000
Co2 0.000 0.000 0.500
Co3 0.329 0.329 0.000
Co4 0.329 0.329 0.500
Co5 0.671 0.671 0.000
Co6 0.671 0.671 0.500
```

Results
The value obtained for the uncorrected energy is -163.559 eV per cell. Its symmetry is No. 63. The value obtained for the volume is 15.36 Å³/atom.

***

# 2
The following is a DFT calculation (GGA-PBEsol) of a relaxed structure of Y2Al3Co14.

CIF file:
```
data_Y2Al3Co14
_chemical_formula_sum 'Y4 Al6 Co28'
_cell_length_a 8.245
_cell_length_b 8.245
_cell_length_c 8.037
_cell_angle_alpha 90.00
_cell_angle_beta 90.00
_cell_angle_gamma 120.00
_symmetry_space_group_name_H-M 'P 1'
_symmetry_Int_Tables_number 1
loop_
_symmetry_equiv_pos_as_xyz
'x,y,z'
loop_
_atom_site_label
_atom_site_fract_x
_atom_site_fract_y
_atom_site_fract_z
Y1 0.000 0.000 0.250
Y2 0.000 0.000 0.750
Y3 0.333 0.667 0.250
Y4 0.667 0.333 0.750
Al1 0.000 0.500 0.000
Al2 0.000 0.500 0.500
Al3 0.500 0.000 0.000
Al4 0.500 0.000 0.500
Al5 0.500 0.500 0.000
Al6 0.500 0.500 0.500
Co1 0.047 0.372 0.750
Co2 0.047 0.674 0.750
Co3 0.163 0.325 0.016
Co4 0.163 0.325 0.484
Co5 0.163 0.837 0.016
Co6 0.163 0.837 0.484
Co7 0.325 0.163 0.516
Co8 0.325 0.163 0.984
Co9 0.326 0.372 0.750
Co10 0.326 0.953 0.750
Co11 0.333 0.667 0.610
Co12 0.333 0.667 0.890
Co13 0.372 0.047 0.250
Co14 0.372 0.326 0.250
Co15 0.628 0.674 0.750
Co16 0.628 0.953 0.750
Co17 0.667 0.333 0.110
Co18 0.667 0.333 0.390
Co19 0.674 0.047 0.250
Co20 0.674 0.628 0.250
Co21 0.675 0.837 0.016
Co22 0.675 0.837 0.484
Co23 0.837 0.163 0.516
Co24 0.837 0.163 0.984
Co25 0.837 0.675 0.516
Co26 0.837 0.675 0.984
Co27 0.953 0.326 0.250
Co28 0.953 0.628 0.250
```

Results
The value obtained for the uncorrected energy is -276.150 eV per cell. Its symmetry is No. 194. The value obtained for the volume is 12.45 Å³/atom.

***

# 3
The following is a DFT calculation (GGA-PBEsol) of a relaxed structure of Y2AlCo2.

CIF file:
```
data_Y2AlCo2
_chemical_formula_sum 'Y4 Al2 Co4'
_cell_length_a 6.687
_cell_length_b 6.687
_cell_length_c 4.001
_cell_angle_alpha 90.00
_cell_angle_beta 90.00
_cell_angle_gamma 90.00
_symmetry_space_group_name_H-M 'P 1'
_symmetry_Int_Tables_number 1
loop_
_symmetry_equiv_pos_as_xyz
'x,y,z'
loop_
_atom_site_label
_atom_site_fract_x
_atom_site_fract_y
_atom_site_fract_z
Y1 0.182 0.318 0.000
Y2 0.318 0.818 0.000
Y3 0.682 0.182 0.000
Y4 0.818 0.682 0.000
Al1 0.000 0.000 0.500
Al2 0.500 0.500 0.500
Co1 0.117 0.617 0.500
Co2 0.383 0.117 0.500
Co3 0.617 0.883 0.500
Co4 0.883 0.383 0.500
```

Results
The value obtained for the uncorrected energy is -69.445 eV per cell. Its symmetry is No. 127. The value obtained for the volume is 17.89 Å³/atom.

***

# 4
The following is a DFT calculation (GGA-PBEsol) of a relaxed structure of YAlCo4.

CIF file:
```
data_YAlCo4
_chemical_formula_sum 'Y1 Al1 Co4'
_cell_length_a 4.968
_cell_length_b 4.968
_cell_length_c 3.821
_cell_angle_alpha 90.00
_cell_angle_beta 90.00
_cell_angle_gamma 120.00
_symmetry_space_group_name_H-M 'P 1'
_symmetry_Int_Tables_number 1
loop_
_symmetry_equiv_pos_as_xyz
'x,y,z'
loop_
_atom_site_label
_atom_site_fract_x
_atom_site_fract_y
_atom_site_fract_z
Y1 0.000 0.000 0.000
Al1 0.667 0.333 0.000
Co1 0.008 0.504 0.500
Co2 0.333 0.667 0.000
Co3 0.496 0.504 0.500
Co4 0.496 0.992 0.500
```

Results
The value obtained for the uncorrected energy is -43.336 eV per cell. Its symmetry is No. 187. The value obtained for the volume is 13.61 Å³/atom.

***

# 5
The following is a DFT calculation (GGA-PBEsol) of a relaxed structure of Y3AlCo.

CIF file:
```
data_Y3AlCo
_chemical_formula_sum 'Y3 Al1 Co1'
_cell_length_a 5.037
_cell_length_b 5.037
_cell_length_c 5.037
_cell_angle_alpha 90.00
_cell_angle_beta 90.00
_cell_angle_gamma 90.00
_symmetry_space_group_name_H-M 'P 1'
_symmetry_Int_Tables_number 1
loop_
_symmetry_equiv_pos_as_xyz
'x,y,z'
loop_
_atom_site_label
_atom_site_fract_x
_atom_site_fract_y
_atom_site_fract_z
Y1 0.000 0.000 0.500
Y2 0.000 0.500 0.000
Y3 0.500 0.000 0.000
Al1 0.500 0.500 0.500
Co1 0.000 0.000 0.000
```

Results
The value obtained for the uncorrected energy is -32.557 eV per cell. Its symmetry is No. 221. The value obtained for the volume is 25.56 Å³/atom.

***

# 6
The following is a DFT calculation (GGA-PBEsol) of a relaxed structure of AlZnCo2.

CIF file:
```
data_AlZnCo2
_chemical_formula_sum 'Al1 Zn1 Co2'
_cell_length_a 4.653
_cell_length_b 4.653
_cell_length_c 4.170
_cell_angle_alpha 110.11
_cell_angle_beta 110.11
_cell_angle_gamma 33.19
_symmetry_space_group_name_H-M 'P 1'
_symmetry_Int_Tables_number 1
loop_
_symmetry_equiv_pos_as_xyz
'x,y,z'
loop_
_atom_site_label
_atom_site_fract_x
_atom_site_fract_y
_atom_site_fract_z
Al1 0.000 0.000 0.000
Zn1 0.229 0.229 0.624
Co1 0.479 0.479 0.491
Co2 0.749 0.749 0.136
```

Results
The value obtained for the uncorrected energy is -21.949 eV per cell. Its symmetry is No. 8. The value obtained for the volume is 11.53 Å³/atom.

***

# 7
The following is a DFT calculation (GGA-PBEsol) of a relaxed structure of AlZn3Co.

CIF file:
```
data_AlZn3Co
_chemical_formula_sum 'Al1 Zn3 Co1'
_cell_length_a 4.601
_cell_length_b 4.601
_cell_length_c 4.601
_cell_angle_alpha 90.00
_cell_angle_beta 90.00
_cell_angle_gamma 90.00
_symmetry_space_group_name_H-M 'P 1'
_symmetry_Int_Tables_number 1
loop_
_symmetry_equiv_pos_as_xyz
'x,y,z'
loop_
_atom_site_label
_atom_site_fract_x
_atom_site_fract_y
_atom_site_fract_z
Al1 0.000 0.000 0.000
Zn1 0.000 0.000 0.500
Zn2 0.000 0.500 0.000
Zn3 0.500 0.000 0.000
Co1 0.500 0.500 0.500
```

Results
The value obtained for the uncorrected energy is -10.824 eV per cell. Its symmetry is No. 221. The value obtained for the volume is 19.47 Å³/atom.

***

# 8
The following is a DFT calculation (GGA-PBEsol) of a relaxed structure of Zr2Al3Co.

CIF file:
```
data_Zr2Al3Co
_chemical_formula_sum 'Zr2 Al3 Co1'
_cell_length_a 5.090
_cell_length_b 5.090
_cell_length_c 5.090
_cell_angle_alpha 61.65
_cell_angle_beta 61.65
_cell_angle_gamma 61.65
_symmetry_space_group_name_H-M 'P 1'
_symmetry_Int_Tables_number 1
loop_
_symmetry_equiv_pos_as_xyz
'x,y,z'
loop_
_atom_site_label
_atom_site_fract_x
_atom_site_fract_y
_atom_site_fract_z
Zr1 0.128 0.128 0.128
Zr2 0.872 0.872 0.872
Al1 0.000 0.500 0.500
Al2 0.500 0.000 0.500
Al3 0.500 0.500 0.000
Co1 0.500 0.500 0.500
```

Results
The value obtained for the uncorrected energy is -41.341 eV per cell. Its symmetry is No. 166. The value obtained for the volume is 16.11 Å³/atom.

***

# 9
The following is a DFT calculation (GGA-PBEsol) of a relaxed structure of ZrAlCo2.

CIF file:
```
data_ZrAlCo2
_chemical_formula_sum 'Zr1 Al1 Co2'
_cell_length_a 4.950
_cell_length_b 4.950
_cell_length_c 4.950
_cell_angle_alpha 137.75
_cell_angle_beta 137.75
_cell_angle_gamma 61.29
_symmetry_space_group_name_H-M 'P 1'
_symmetry_Int_Tables_number 1
loop_
_symmetry_equiv_pos_as_xyz
'x,y,z'
loop_
_atom_site_label
_atom_site_fract_x
_atom_site_fract_y
_atom_site_fract_z
Zr1 0.000 0.000 0.000
Al1 0.750 0.250 0.500
Co1 0.250 0.750 0.500
Co2 0.500 0.500 0.000
```

Results
The value obtained for the uncorrected energy is -29.949 eV per cell. Its symmetry is No. 119. The value obtained for the volume is 13.56 Å³/atom.

***

# 10
The following is a DFT calculation (GGA-PBEsol) of a relaxed structure of ZrAlCo4.

CIF file:
```
data_ZrAlCo4
_chemical_formula_sum 'Zr1 Al1 Co4'
_cell_length_a 4.697
_cell_length_b 4.697
_cell_length_c 4.697
_cell_angle_alpha 60.00
_cell_angle_beta 60.00
_cell_angle_gamma 60.00
_symmetry_space_group_name_H-M 'P 1'
_symmetry_Int_Tables_number 1
loop_
_symmetry_equiv_pos_as_xyz
'x,y,z'
loop_
_atom_site_label
_atom_site_fract_x
_atom_site_fract_y
_atom_site_fract_z
Zr1 0.000 0.000 0.000
Al1 0.250 0.250 0.250
Co1 0.129 0.624 0.624
Co2 0.624 0.129 0.624
Co3 0.624 0.624 0.129
Co4 0.624 0.624 0.624
```

Results
The value obtained for the uncorrected energy is -46.323 eV per cell. Its symmetry is No. 216. The value obtained for the volume is 12.22 Å³/atom.